--- i ---
A relaxed HfSeS3 crystal. Source: Alexandria, functional GGA-PBE.

abc: 4.921 4.921 4.921
angles: 90.00 90.00 90.00
Space group Pm-3m (No. 221)
Inequivalent atoms, fractional coordinates:
Hf  0.000  0.000  0.000 [1 per cell]
Se  0.500  0.500  0.500 [1 per cell]
S  0.000  0.000  0.500 [3 per cell]

***

--- ii ---
A relaxed HfSeS3 crystal. Source: Alexandria, functional GGA-PBE.

abc: 4.662 4.662 4.662
angles: 90.00 90.00 90.00
Space group Pm-3m (No. 221)
Inequivalent atoms, fractional coordinates:
Hf  0.000  0.000  0.000 [1 per cell]
Se  0.500  0.500  0.500 [1 per cell]
S  0.000  0.500  0.500 [3 per cell]

***

Short version: i is the most stable of them.

***

--- i ---
A relaxed HfSeS crystal. Source: Alexandria, functional GGA-PBE.

abc: 6.414 3.709 6.955
angles: 90.00 93.35 90.00
Space group P2_1/m (No. 11)
Inequivalent atoms, fractional coordinates:
Hf  0.246  0.250  0.001 [2 per cell]
Se  0.404  0.750  0.768 [2 per cell]
S  0.098  0.750  0.203 [2 per cell]

***

--- ii ---
A relaxed HfSeS crystal. Source: Alexandria, functional GGA-PBE.

abc: 3.408 3.408 9.462
angles: 90.00 90.00 90.00
Space group I4mm (No. 107)
Inequivalent atoms, fractional coordinates:
Hf  0.000  0.000  0.000 [2 per cell]
Se  0.000  0.000  0.328 [2 per cell]
S  0.000  0.000  0.622 [2 per cell]

***

--- iii ---
A relaxed HfSeS crystal. Source: Alexandria, functional GGA-PBE.

abc: 4.3029 4.3029 3.7181
angles: 90.00 90.00 120.00
Space group P-6m2 (No. 187)
Inequivalent atoms, fractional coordinates:
Hf  0.0000  0.0000  0.0000 [1 per cell]
Se  0.3333  0.6667  0.5000 [1 per cell]
S  0.6667  0.3333  0.0000 [1 per cell]

***

Short version: i is the most stable of them.

***

--- i ---
A relaxed Hf3SeS crystal. Source: Alexandria, functional GGA-PBE.

abc: 10.494 5.075 8.509
angles: 90.00 119.11 90.00
Space group C2/m (No. 12)
Inequivalent atoms, fractional coordinates:
Hf  0.085  0.000  0.404 [4 per cell]
Hf  0.141  0.500  0.727 [4 per cell]
Hf  0.164  0.500  0.158 [4 per cell]
Se  0.125  0.000  0.940 [4 per cell]
S  0.134  0.500  0.428 [4 per cell]

***

--- ii ---
A relaxed Hf3SeS crystal. Source: Alexandria, functional GGA-PBE.

abc: 4.769 4.769 4.769
angles: 90.00 90.00 90.00
Space group Pm-3m (No. 221)
Inequivalent atoms, fractional coordinates:
Hf  0.000  0.000  0.500 [3 per cell]
Se  0.500  0.500  0.500 [1 per cell]
S  0.000  0.000  0.000 [1 per cell]

***

Short version: i is the most stable of them.

***

--- i ---
A relaxed Hf2SeS2 crystal. Source: Alexandria, functional GGA-PBE.

abc: 3.664 5.043 11.303
angles: 90.00 90.00 90.00
Space group Immm (No. 71)
Inequivalent atoms, fractional coordinates:
Hf  0.000  0.000  0.174 [4 per cell]
Se  0.000  0.500  0.500 [2 per cell]
S  0.000  0.500  0.163 [4 per cell]

***

--- ii ---
A relaxed Hf2SeS2 crystal. Source: Alexandria, functional GGA-PBE.

abc: 11.572 5.114 7.426
angles: 90.00 108.71 90.00
Space group C2/m (No. 12)
Inequivalent atoms, fractional coordinates:
Hf  0.009  0.000  0.262 [4 per cell]
Hf  0.177  0.500  0.580 [4 per cell]
Se  0.167  0.000  0.077 [4 per cell]
S  0.003  0.500  0.740 [4 per cell]
S  0.171  0.000  0.602 [4 per cell]

***

Short version: i is the most stable of them.

***

--- i ---
A relaxed HfSiS3 crystal. Source: Alexandria, functional GGA-PBE.

abc: 4.906 4.906 4.906
angles: 90.00 90.00 90.00
Space group Pm-3m (No. 221)
Inequivalent atoms, fractional coordinates:
Hf  0.000  0.000  0.000 [1 per cell]
Si  0.500  0.500  0.500 [1 per cell]
S  0.000  0.000  0.500 [3 per cell]

***

--- ii ---
A relaxed HfSiS3 crystal. Source: Alexandria, functional GGA-PBE.

abc: 4.450 4.450 4.450
angles: 90.00 90.00 90.00
Space group Pm-3m (No. 221)
Inequivalent atoms, fractional coordinates:
Hf  0.000  0.000  0.000 [1 per cell]
Si  0.500  0.500  0.500 [1 per cell]
S  0.000  0.500  0.500 [3 per cell]

***

Short version: i is the most stable of them.

***

--- i ---
A relaxed HfSiS2 crystal. Source: Alexandria, functional GGA-PBE.

abc: 6.406 6.406 6.406
angles: 90.00 90.00 90.00
Space group Fm-3m (No. 225)
Inequivalent atoms, fractional coordinates:
Hf  0.000  0.000  0.000 [4 per cell]
Si  0.000  0.000  0.500 [4 per cell]
S  0.250  0.250  0.250 [8 per cell]

***

--- ii ---
A relaxed HfSiS2 crystal. Source: Alexandria, functional GGA-PBE.

abc: 3.4566 3.4566 24.6259
angles: 90.00 90.00 120.00
Space group R-3m (No. 166, hexagonal axes)
Inequivalent atoms, fractional coordinates:
Hf  0.0000  0.0000  0.0000 [3 per cell]
Si  0.0000  0.0000  0.5000 [3 per cell]
S  0.0000  0.0000  0.3970 [6 per cell]

***

Short version: ii is the most stable of them.

***

--- i ---
A relaxed HfSi2S crystal. Source: Alexandria, functional GGA-PBE.

abc: 6.524 6.524 6.524
angles: 90.00 90.00 90.00
Space group Fm-3m (No. 225)
Inequivalent atoms, fractional coordinates:
Hf  0.000  0.000  0.000 [4 per cell]
Si  0.250  0.250  0.250 [8 per cell]
S  0.000  0.000  0.500 [4 per cell]

***

--- ii ---
A relaxed HfSi2S crystal. Source: Alexandria, functional GGA-PBE.

abc: 7.262 7.262 5.159
angles: 90.00 90.00 90.00
Space group I-42d (No. 122)
Inequivalent atoms, fractional coordinates:
Hf  0.000  0.000  0.000 [4 per cell]
Si  0.230  0.250  0.625 [8 per cell]
S  0.000  0.000  0.500 [4 per cell]

***

Short version: ii is the most stable of them.

***

--- i ---
A relaxed SrHf3S crystal. Source: Alexandria, functional GGA-PBE.

abc: 5.176 5.176 5.176
angles: 90.00 90.00 90.00
Space group Pm-3m (No. 221)
Inequivalent atoms, fractional coordinates:
Sr  0.000  0.000  0.000 [1 per cell]
Hf  0.000  0.000  0.500 [3 per cell]
S  0.500  0.500  0.500 [1 per cell]

***

--- ii ---
A relaxed SrHf3S crystal. Source: Alexandria, functional GGA-PBE.

abc: 4.967 4.967 4.967
angles: 90.00 90.00 90.00
Space group Pm-3m (No. 221)
Inequivalent atoms, fractional coordinates:
Sr  0.000  0.000  0.000 [1 per cell]
Hf  0.000  0.500  0.500 [3 per cell]
S  0.500  0.500  0.500 [1 per cell]

***

Short version: ii is the most stable of them.